No. 1
A plane-wave DFT calculation with PBE was carried out for K2FeOs after structural relaxation.

a b c (Å): 11.601 2.712 5.098
angles (deg): 90.00 96.58 90.00
Space group C2/m (No. 12)
One atom of each set of equivalent atoms:
K 0.247 0.000 0.249 [4 per cell]
Fe 0.000 0.500 0.000 [2 per cell]
Os 0.000 0.000 0.500 [2 per cell]

Output
Calculated formation energy, eV/f.u.: 5.372
Distance to the lowest polymorph of the same formula, meV/atom: 569
Magnetization, μB per cell: 5.64


No. 2
A plane-wave DFT calculation with PBE was carried out for CaGe2TeSe after structural relaxation.

a b c (Å): 5.373 5.373 5.492
angles (deg): 90.00 90.00 90.00
Space group P4/mmm (No. 123)
One atom of each set of equivalent atoms:
Ca 0.000 0.000 0.000 [1 per cell]
Ge 0.000 0.500 0.500 [2 per cell]
Te 0.500 0.500 0.500 [1 per cell]
Se 0.500 0.500 0.000 [1 per cell]

Output
E_form (uncorrected), eV/atom: 0.31
Magnetization, μB per cell: 0.00


No. 3
A plane-wave DFT calculation with PBE was carried out for Na4Cl3O2 after structural relaxation.

a b c (Å): 13.378 7.624 7.507
angles (deg): 90.00 93.56 90.00
Space group C2/c (No. 15)
One atom of each set of equivalent atoms:
Na 0.047 0.235 0.031 [8 per cell]
Na 0.226 0.432 0.308 [8 per cell]
Cl 0.000 0.463 0.750 [4 per cell]
Cl 0.133 0.112 0.387 [8 per cell]
O 0.215 0.314 0.992 [8 per cell]

Output
E_form (uncorrected), eV/atom: -1.41
Magnetization, μB per cell: 4.00